EuY2Er | PBE | optimized geometry

Results
distance to the lowest polymorph of the same formula = 0.000 eV per atom
formation enthalpy at 0 K = 0.0993 eV per atom
magnetization = 7.2 μB/cell

a b c (Å): 5.1012 5.1012 5.0988
angles (deg): 90.00 90.00 90.00
Space group P4/mmm (No. 123)
Unique sites:
Eu: 0.0000 0.0000 0.0000 (multiplicity 1)
Y: 0.0000 0.5000 0.5000 (multiplicity 2)
Er: 0.5000 0.5000 0.0000 (multiplicity 1)

---

EuYEr2 | PBE | optimized geometry

Results
distance to the lowest polymorph of the same formula = 0.097 eV per atom
formation enthalpy at 0 K = 0.1659 eV per atom
magnetization = 32.2 μB/cell

a b c (Å): 8.0911 8.0911 8.0911
angles (deg): 90.00 90.00 90.00
Space group Fm-3m (No. 225)
Unique sites:
Eu: 0.0000 0.0000 0.0000 (multiplicity 4)
Y: 0.0000 0.0000 0.5000 (multiplicity 4)
Er: 0.2500 0.2500 0.2500 (multiplicity 8)

---

EuErZn2 | PBE | optimized geometry

Results
formation enthalpy at 0 K = -0.0661 eV per atom
magnetization = 23.4 μB/cell

a b c (Å): 3.6762 3.6762 27.2307
angles (deg): 90.00 90.00 120.00
Space group R-3m (No. 166, hexagonal axes)
Unique sites:
Eu: 0.0000 0.0000 0.0000 (multiplicity 3)
Er: 0.0000 0.0000 0.5000 (multiplicity 3)
Zn: 0.0000 0.0000 0.2449 (multiplicity 6)

---

Eu2ErZn | PBE | optimized geometry

Results
distance to the lowest polymorph of the same formula = 0.256 eV per atom
formation enthalpy at 0 K = 0.2049 eV per atom
magnetization = 46.1 μB/cell

a b c (Å): 3.5651 3.5651 35.1966
angles (deg): 90.00 90.00 120.00
Space group R-3m (No. 166, hexagonal axes)
Unique sites:
Eu: 0.0000 0.0000 0.0978 (multiplicity 6)
Er: 0.0000 0.0000 0.0000 (multiplicity 3)
Zn: 0.0000 0.0000 0.5000 (multiplicity 3)

---

Eu2ErZn | PBE | optimized geometry

Results
distance to the lowest polymorph of the same formula = 0.000 eV per atom
formation enthalpy at 0 K = -0.0513 eV per atom
magnetization = 15.3 μB/cell

a b c (Å): 3.7144 3.7144 9.0076
angles (deg): 90.00 90.00 90.00
Space group P4/mmm (No. 123)
Unique sites:
Eu: 0.0000 0.0000 0.2074 (multiplicity 2)
Er: 0.5000 0.5000 0.5000 (multiplicity 1)
Zn: 0.5000 0.5000 0.0000 (multiplicity 1)

---

EuErZn2 | PBE | optimized geometry

Results
formation enthalpy at 0 K = -0.3010 eV per atom
magnetization = 7.2 μB/cell

a b c (Å): 3.6378 3.6378 7.3022
angles (deg): 90.00 90.00 90.00
Space group P4/mmm (No. 123)
Unique sites:
Eu: 0.0000 0.0000 0.0000 (multiplicity 1)
Er: 0.0000 0.0000 0.5000 (multiplicity 1)
Zn: 0.5000 0.5000 0.2801 (multiplicity 2)

---

- What is the magnetization in the first record?
  7.2 μB/cell